TlSb2Te | PBE | optimized geometry

Values from the calculation:
Uncorrected formation energy ... 142 meV per atom
DFT total energy ... -3.297 eV per atom
DOS at the Fermi energy ... 2.75 states/eV/f.u.
Energy relative to the lowest polymorph listed for this composition ... 61 kJ/mol of formula units
Total moment ... 0.0 Bohr magnetons per cell
Calculated volume ... 115.5 Å³/cell

Structure (POSCAR):
```
TlSb2Te
1.0
-0.636 0.276 -3.788
-5.423 -1.036 0.835
-0.922 5.263 0.538
Tl Te Sb
1 1 2
direct
0.000 0.500 0.500
0.500 0.000 0.500
0.000 0.000 0.000
0.500 0.500 0.000
```